# 1
The following is a DFT calculation (PBE) of crystalline LiSiBi2I at its relaxed geometry.

Cell and atoms, written as POSCAR:
```
LiSiBi2I
1.0
-4.7712 2.7155 -0.5898
-2.2528 -3.2359 3.3261
1.3809 3.3340 4.1790
Li Bi Si I
1 2 1 1
direct
0.0000 0.5000 0.0000 Li
0.0000 0.0000 0.5000 Bi
0.5000 0.0000 0.0000 Bi
0.0000 0.0000 0.0000 Si
0.5000 0.5000 0.5000 I
```

Output
The calculation puts the formation energy from raw total energies at 0.248 eV per atom. For the total magnetic moment, the calculation gives 0.000 Bohr magnetons per cell.

***

# 2
The following is a DFT calculation (PBE) of crystalline SrLiBiI2 at its relaxed geometry.

Cell and atoms, written as POSCAR:
```
SrLiBiI2
1.0
-4.3526 1.7458 -2.4938
-3.2677 0.1196 5.7871
1.5648 5.0154 0.7799
I Sr Bi Li
2 1 1 1
direct
0.0000 0.0000 0.5000 I
0.5000 0.0000 0.0000 I
0.0000 0.5000 0.0000 Sr
0.5000 0.5000 0.5000 Bi
0.0000 0.0000 0.0000 Li
```

Output
The calculation puts the formation energy from raw total energies at -0.427 eV per atom. For the total magnetic moment, the calculation gives 0.000 Bohr magnetons per cell.

***

# 3
The following is a DFT calculation (PBE) of crystalline LiBiTeI2 at its relaxed geometry.

Cell and atoms, written as POSCAR:
```
LiBiTeI2
1.0
-1.0890 5.9371 1.6120
-1.8875 1.2357 -5.8261
-5.5846 -1.4331 1.5053
Bi I Te Li
1 2 1 1
direct
0.0000 0.0000 0.0000 Bi
0.5000 0.0000 0.0000 I
0.0000 0.5000 0.0000 I
0.0000 0.0000 0.5000 Te
0.5000 0.5000 0.5000 Li
```

Output
The calculation puts the formation energy from raw total energies at -0.186 eV per atom. For the total magnetic moment, the calculation gives 0.000 Bohr magnetons per cell.

***

# 4
The following is a DFT calculation (PBE) of crystalline LiBiTeI2 at its relaxed geometry.

Cell and atoms, written as POSCAR:
```
LiBiTeI2
1.0
5.2880 0.0000 0.0000
0.0000 5.2880 0.0000
0.0000 0.0000 5.5109
Li I Te Bi
1 2 1 1
direct
0.0000 0.0000 0.0000 Li
0.5000 0.0000 0.0000 I
0.0000 0.5000 0.0000 I
0.0000 0.0000 0.5000 Te
0.5000 0.5000 0.5000 Bi
```

Output
The calculation puts the formation energy from raw total energies at -0.048 eV per atom. For the total magnetic moment, the calculation gives 0.000 Bohr magnetons per cell.

***

# 5
The following is a DFT calculation (PBE) of crystalline LiTlBi2I at its relaxed geometry.

Cell and atoms, written as POSCAR:
```
LiTlBi2I
1.0
-1.7128 -1.9373 -5.2901
6.2098 0.7602 -2.2890
1.2693 -5.5198 1.6104
Li Bi I Tl
1 2 1 1
direct
0.5000 0.5000 0.5000 Li
0.0000 0.0000 0.5000 Bi
0.5000 0.0000 0.0000 Bi
0.0000 0.5000 0.0000 I
0.0000 0.0000 0.0000 Tl
```

Output
The calculation puts the formation energy from raw total energies at 0.385 eV per atom. For the total magnetic moment, the calculation gives 1.441 Bohr magnetons per cell.

***

# 6
The following is a DFT calculation (PBE) of crystalline Li2TlBiI6 at its relaxed geometry.

Cell and atoms, written as POSCAR:
```
Li2TlBiI6
1.0
7.9004 0.0002 0.0009
3.9503 6.8432 0.0008
3.9505 2.2817 7.2350
Tl I Li Bi
1 6 2 1
direct
0.8098 0.8097 0.5715 Tl
0.7447 0.1532 0.7547 I
0.6044 0.2544 0.2377 I
0.2544 0.9035 0.2376 I
0.3477 0.7447 0.7545 I
0.9035 0.6044 0.2378 I
0.1532 0.3476 0.7546 I
0.9985 0.9984 0.0039 Li
0.5192 0.5193 0.4419 Li
0.3263 0.3264 0.0210 Bi
```

Output
The calculation puts the formation energy from raw total energies at -0.762 eV per atom. For the total magnetic moment, the calculation gives 0.000 Bohr magnetons per cell.

***

# 7
The following is a DFT calculation (PBE) of crystalline Li2VBiI at its relaxed geometry.

Cell and atoms, written as POSCAR:
```
Li2VBiI
1.0
4.9467 0.0000 0.0000
0.0000 5.4068 0.0000
0.0000 0.0000 4.9467
Li V Bi I
2 1 1 1
direct
0.0000 0.0000 0.5000 Li
0.5000 0.0000 0.0000 Li
0.0000 0.5000 0.0000 V
0.5000 0.5000 0.5000 Bi
0.0000 0.0000 0.0000 I
```

Output
The calculation puts the formation energy from raw total energies at 0.162 eV per atom. For the total magnetic moment, the calculation gives 3.000 Bohr magnetons per cell.

***

# 8
The following is a DFT calculation (PBE) of crystalline LuBi2IO4 at its relaxed geometry.

Cell and atoms, written as POSCAR:
```
LuBi2IO4
1.0
-0.0893 -1.7934 -3.4653
3.7878 -0.8719 0.3536
-2.3333 -8.3581 4.3855
Bi O Lu I
2 4 1 1
direct
0.5000 0.5000 0.7467 Bi
0.5000 0.5000 0.2533 Bi
0.5000 0.0000 0.1370 O
0.5000 0.0000 0.8630 O
0.0000 0.5000 0.1370 O
0.0000 0.5000 0.8630 O
0.0000 0.0000 0.0000 Lu
0.0000 0.0000 0.5000 I
```

Output
The calculation puts the formation energy from raw total energies at -1.936 eV per atom. For the total magnetic moment, the calculation gives 0.000 Bohr magnetons per cell.

***

# 9
The following is a DFT calculation (PBE) of crystalline MgBiI3 at its relaxed geometry.

Cell and atoms, written as POSCAR:
```
MgBiI3
1.0
6.2052 0.0000 0.0000
0.0000 6.2052 0.0000
0.0000 0.0000 6.2052
I Mg Bi
3 1 1
direct
0.5000 0.0000 0.0000 I
0.0000 0.5000 0.0000 I
0.0000 0.0000 0.5000 I
0.5000 0.5000 0.5000 Mg
0.0000 0.0000 0.0000 Bi
```

Output
The calculation puts the formation energy from raw total energies at -0.059 eV per atom. For the total magnetic moment, the calculation gives 0.270 Bohr magnetons per cell.

***

# 10
The following is a DFT calculation (PBE) of crystalline MgBiI at its relaxed geometry.

Cell and atoms, written as POSCAR:
```
MgBiI
1.0
-2.6631 -3.0516 -0.8480
3.2990 -0.7359 2.3842
-11.5203 7.7843 8.1659
Bi I Mg
2 2 2
direct
0.9034 0.8067 0.5740 Bi
0.0966 0.1933 0.4260 Bi
0.8178 0.6355 0.8359 I
0.1822 0.3645 0.1641 I
0.6255 0.2510 0.2805 Mg
0.3745 0.7490 0.7195 Mg
```

Output
The calculation puts the formation energy from raw total energies at -0.433 eV per atom. For the total magnetic moment, the calculation gives 0.000 Bohr magnetons per cell.

***

# 11
The following is a DFT calculation (PBE) of crystalline Mg2BiI at its relaxed geometry.

Cell and atoms, written as POSCAR:
```
Mg2BiI
1.0
-0.2261 -0.2530 -4.4485
3.0174 -2.3910 -2.2546
-3.2457 -6.6618 -1.6933
Mg Bi I
2 1 1
direct
0.2673 0.2673 0.1982 Mg
0.7327 0.7327 0.8018 Mg
0.0000 0.0000 0.0000 Bi
0.5000 0.5000 0.5000 I
```

Output
The calculation puts the formation energy from raw total energies at -0.390 eV per atom. For the total magnetic moment, the calculation gives 0.000 Bohr magnetons per cell.

***

# 12
The following is a DFT calculation (PBE) of crystalline Mg2BiI at its relaxed geometry.

Cell and atoms, written as POSCAR:
```
Mg2BiI
1.0
-5.6848 3.5191 0.3555
-3.5218 -5.5693 -1.1865
-4.9430 -2.2625 6.4009
I Bi Mg
2 2 4
direct
0.2500 0.7500 0.5000 I
0.5000 0.5000 0.0000 I
0.7500 0.2500 0.5000 Bi
0.0000 0.0000 0.0000 Bi
0.8750 0.9092 0.7500 Mg
0.6592 0.1250 0.2500 Mg
0.0908 0.6250 0.2500 Mg
0.3750 0.3408 0.7500 Mg
```

Output
The calculation puts the formation energy from raw total energies at -0.392 eV per atom. For the total magnetic moment, the calculation gives 0.000 Bohr magnetons per cell.

***

# 13
The following is a DFT calculation (PBE) of crystalline Mg2BiI at its relaxed geometry.

Cell and atoms, written as POSCAR:
```
Mg2BiI
1.0
0.0000 3.8294 3.8294
3.8294 0.0000 3.8294
3.8294 3.8294 0.0000
Mg Bi I
2 1 1
direct
0.7500 0.7500 0.7500 Mg
0.2500 0.2500 0.2500 Mg
0.5000 0.5000 0.5000 Bi
0.0000 0.0000 0.0000 I
```

Output
The calculation puts the formation energy from raw total energies at -0.087 eV per atom. For the total magnetic moment, the calculation gives 0.000 Bohr magnetons per cell.